# Ni3P2H16O16 | Alexandria via LeMat-Bulk | PBE with a Hubbard U | optimized geometry
# Magnetic moment = 11.99 μB per cell
# Final energy = -5.41 eV/atom
data_Ni3P2H16O16
_chemical_formula_sum 'Ni6 P4 H32 O32'
_symmetry_space_group_name_H-M 'C 1 2/m 1'
_symmetry_Int_Tables_number 12
_cell_length_a 10.073
_cell_length_b 13.205
_cell_length_c 4.663
_cell_angle_alpha 90.00
_cell_angle_beta 105.16
_cell_angle_gamma 90.00
loop_
_symmetry_equiv_pos_as_xyz
'x,y,z'
'-x,-y,-z'
'-x,y,-z'
'x,-y,z'
'x+1/2,y+1/2,z'
'-x+1/2,-y+1/2,-z'
'-x+1/2,y+1/2,-z'
'x+1/2,-y+1/2,z'
loop_
_atom_site_label
_atom_site_type_symbol
_atom_site_fract_x
_atom_site_fract_y
_atom_site_fract_z
_atom_site_occupancy
Ni1 Ni 0.000 0.000 0.000 1
Ni2 Ni 0.000 0.389 0.000 1
P1 P 0.186 0.500 0.616 1
H1 H 0.034 0.219 0.279 1
H2 H 0.124 0.081 0.640 1
H3 H 0.125 0.305 0.487 1
H4 H 0.188 0.126 0.963 1
O1 O 0.098 0.115 0.811 1
O2 O 0.098 0.276 0.283 1
O3 O 0.100 0.500 0.287 1
O4 O 0.158 0.000 0.386 1
O5 O 0.160 0.401 0.775 1